The following is a DFT calculation (PBE) of a relaxed structure of Tb4TlHg.

Cell and atoms, written as extended XYZ:
```
6
Lattice="4.4753 -2.5792 0.0000 4.4753 2.5792 0.0000 -3.0029 0.0000 8.4123" Properties=species:S:1:pos:R:3 pbc="T T T"
Tb -0.0073 0.0000 3.0926
Tb 2.9809 0.0000 0.9888
Tb 2.9670 0.0000 7.4235
Tb 5.9551 0.0000 5.3197
Tl 2.9739 0.0000 4.2062
Hg 0.0000 0.0000 0.0000
```

Formation energy from the elements in meV/atom: -70
Uncorrected energy in eV per atom: -3.60
Volume in Å³/cell: 194.2
Space group: C2/m
Energy above the most stable polymorph in this dataset in eV per atom: 0.205

---

The following is a DFT calculation (PBE) of a relaxed structure of Ca3Pr2Sb3O14.

Cell and atoms, written as extended XYZ:
```
22
Lattice="6.5278 -3.8102 0.0000 6.5278 3.8102 0.0000 -4.2745 0.0000 6.1838" Properties=species:S:1:pos:R:3 pbc="T T T"
Ca 0.0000 0.0000 0.0000
Ca -2.1372 0.0000 3.0919
Ca 6.5278 0.0000 0.0000
Pr 1.1267 1.9051 3.0919
Pr 1.1267 -1.9051 3.0919
Sb 3.2639 1.9051 0.0000
Sb 3.2639 -1.9051 0.0000
Sb 4.3905 0.0000 3.0919
O -0.0186 0.0000 2.3409
O 0.8650 1.7858 5.6060
O 3.6625 1.5326 1.9675
O -1.4199 0.0000 5.6111
O 7.9160 1.7858 0.5778
O 2.5887 0.0000 3.9116
O 5.1185 1.5326 4.2162
O 3.6625 -1.5326 1.9675
O 6.1924 0.0000 2.2722
O 0.8650 -1.7858 5.6060
O 10.2010 0.0000 0.5726
O 5.1185 -1.5326 4.2162
O 7.9160 -1.7858 0.5778
O 8.7996 0.0000 3.8429
```

Uncorrected formation energy in kJ/mol of atoms: -227.82
Uncorrected energy in eV per atom: -6.79
Volume in Å³/cell: 307.6
Space group: C2/m

---

The following is a DFT calculation (PBE) of a relaxed structure of Tb3Ge7Ir2.

Cell and atoms, written as extended XYZ:
```
12
Lattice="4.3100 0.0000 0.0000 0.0000 4.2746 0.0000 -2.1522 0.0000 12.9511" Properties=species:S:1:pos:R:3 pbc="T T T"
Tb 0.0000 0.0000 0.0000
Tb 0.0016 2.1373 8.2339
Tb 2.1563 2.1373 4.7172
Ge 0.0069 2.1373 2.1883
Ge 0.0027 0.0000 5.7950
Ge -0.0048 0.0000 10.7504
Ge 2.1550 2.1373 0.0000
Ge 2.1627 0.0000 2.2007
Ge 2.1552 0.0000 7.1561
Ge 2.1510 2.1373 10.7628
Ir 0.0077 0.0000 3.3896
Ir 2.1502 0.0000 9.5616
```

Formation energy from the elements in meV/atom: -643
Uncorrected energy in eV per atom: -5.97
Volume in Å³/cell: 238.6
Space group: P2/m